Here is an optimized crystal structure of Tc2PbSe from Alexandria. Energies are from PBE.

```
Tc2PbSe
1.0
-4.5738 1.9509 -0.6898
-2.1447 0.3856 4.5225
4.4841 1.5748 -1.6168
Se Tc Pb
1 2 1
Direct
0.7500 0.2500 0.5000 Se
0.0000 0.0000 0.0000 Tc
0.2500 0.7500 0.5000 Tc
0.5000 0.5000 0.0000 Pb
```

Raw formation energy, eV/f.u.: 2.98
Space-group type: I-4m2
Offset from the most stable computed form, meV/atom: 592.2


Here is an optimized crystal structure of Tb2Si4Ni3Pt from Alexandria. Energies are from PBE.

```
Tb2Si4Ni3Pt
1.0
-0.4474 3.2551 -2.2920
-1.7740 -2.2278 -2.8176
-8.6009 1.6899 4.0791
Si Tb Ni Pt
4 2 3 1
Direct
0.0000 0.0000 0.0000 Si
0.0000 0.5000 0.3589 Si
0.5000 0.5000 0.0000 Si
0.5000 0.0000 0.6411 Si
0.0000 0.5000 0.7584 Tb
0.5000 0.0000 0.2416 Tb
0.0000 0.0000 0.5000 Ni
0.0000 0.5000 0.1211 Ni
0.5000 0.0000 0.8789 Ni
0.5000 0.5000 0.5000 Pt
```

Raw formation energy, eV/f.u.: -9.19
Space-group type: P-4m2


Here is an optimized crystal structure of NaMoH from Alexandria. Energies are from PBE.

```
NaMoH
1.0
3.0765 0.0000 0.0000
-1.5383 2.3605 0.0000
0.0000 0.0000 11.0543
H Mo Na
2 2 2
Direct
0.5948 0.1895 0.0000 H
0.2988 0.5977 0.5000 H
0.6569 0.3138 0.6146 Mo
0.6569 0.3138 0.3854 Mo
0.2296 0.4592 0.8652 Na
0.2296 0.4592 0.1348 Na
```

Space-group type: Amm2


Here is an optimized crystal structure of MnTl2Cl from Alexandria. Energies are from PBE.

```
MnTl2Cl
1.0
5.8238 -0.0009 0.0000
2.1209 5.4239 0.0000
-3.9724 -2.7115 3.2840
Mn Cl Tl
1 1 2
Direct
0.7500 0.2500 0.5000 Mn
0.2500 0.7500 0.5000 Cl
0.0000 0.0000 0.0000 Tl
0.5000 0.5000 0.0000 Tl
```

Raw formation energy, eV/f.u.: 0.64
Space-group type: I4/mmm
Offset from the most stable computed form, meV/atom: 279.3


Here is an optimized crystal structure of Ba4CoSi from Alexandria. Energies are from PBE.

```
Ba4CoSi
1.0
0.0000 4.9268 4.9268
4.9268 0.0000 4.9268
4.9268 4.9268 0.0000
Ba Si Co
4 1 1
Direct
0.3744 0.3744 0.8769 Ba
0.3744 0.8769 0.3744 Ba
0.3744 0.3744 0.3744 Ba
0.8769 0.3744 0.3744 Ba
0.0000 0.0000 0.0000 Si
0.7500 0.7500 0.7500 Co
```

Raw formation energy, eV/f.u.: 5.94
Space-group type: F-43m


Here is an optimized crystal structure of Li4Cu4Ge3 from Alexandria. Energies are from PBE.

```
Li4Cu4Ge3
1.0
2.7957 -0.0136 0.2310
-0.0326 4.1282 0.6505
0.3065 0.0340 13.2500
Li Ge Cu
4 3 4
Direct
0.6775 0.1787 0.6427 Li
0.3225 0.8213 0.3573 Li
0.4475 0.4470 0.1053 Li
0.5525 0.5529 0.8947 Li
0.0000 0.0000 0.0000 Ge
0.1459 0.6469 0.7076 Ge
0.8541 0.3531 0.2924 Ge
0.9056 0.9058 0.1877 Cu
0.0944 0.0942 0.8123 Cu
0.7339 0.7321 0.5343 Cu
0.2661 0.2679 0.4657 Cu
```

Space-group type: P-1
Formation energy from the elements, eV/atom: -0.174


Here is an optimized crystal structure of Ac6ZnPb5 from Alexandria. Energies are from PBE.

```
Ac6ZnPb5
1.0
-3.5746 3.0720 -2.8788
-2.0831 -7.2295 -5.1282
-7.8407 -0.5178 3.9148
Pb Ac Zn
5 6 1
Direct
0.3401 0.0000 0.3200 Pb
0.0000 0.5000 0.0000 Pb
0.6599 0.0000 0.6800 Pb
0.6705 0.5000 0.6580 Pb
0.3295 0.5000 0.3420 Pb
0.1654 0.2416 0.6690 Ac
0.1654 0.7584 0.6690 Ac
0.5000 0.2466 0.0000 Ac
0.5000 0.7534 0.0000 Ac
0.8346 0.2416 0.3310 Ac
0.8346 0.7584 0.3310 Ac
0.0000 0.0000 0.0000 Zn
```

Space-group type: P2/m
Offset from the most stable computed form, meV/atom: 0.0
Formation energy from the elements, eV/atom: -0.441


Here is an optimized crystal structure of KSb2P2 from Alexandria. Energies are from PBE.

```
KSb2P2
1.0
4.4791 0.0000 0.0000
0.0000 4.4791 0.0000
2.2395 2.2395 6.6700
P K Sb
2 1 2
Direct
0.4225 0.4225 0.1550 P
0.5775 0.5775 0.8450 P
0.0000 0.0000 0.0000 K
0.2500 0.7500 0.5000 Sb
0.7500 0.2500 0.5000 Sb
```

Raw formation energy, eV/f.u.: 0.27
Space-group type: I4/mmm
Offset from the most stable computed form, meV/atom: 126.5


no.,E_tot (eV per formula unit)
1,-24.9
2,-63.5
3,-14.4
4,-15.1
5,-14.3
6,-39.8
7,-49.8
8,-19.9